Below is a relaxed PmPrCuAu crystal, with properties calculated at the PBE-GGA level.

a b c (Å): 3.9407 4.6525 5.8816
angles (deg): 90.00 109.57 90.00
Last column: nearest neighbours and their distance in Å.
Fractional positions:
Pm 0.1391 0.0000 0.2782  3 Cu 3.09-3.17, 4 Au 3.13
Au 0.5759 0.5000 0.1518  2 Cu 2.87, 3 Pr 3.10-3.15, 4 Pm 3.13
Cu 0.4247 0.0000 0.8495  2 Au 2.87, 3 Pm 3.09-3.17, 4 Pr 3.13
Pr 0.8602 0.5000 0.7205  3 Au 3.10-3.15, 4 Cu 3.13

Calculated values
Polymorph energy (0 for the lowest one) in meV/atom: 0
DOS at the Fermi energy in states/eV per atom: 0.811
ΔE_f in meV/atom: -484